[1]
# TlIn2

A crystal of TlIn2 relaxed with PBEsol (SCAN, the Alexandria database).

POSCAR file:
```
TlIn2
1.0
0.000 3.549 3.549
3.549 0.000 3.549
3.549 3.549 0.000
Tl In
1 2
direct
0.000 0.000 0.000
0.250 0.250 0.250
0.750 0.750 0.750
```

**VASP energy**: -46.22 eV/atom
**DOS(E_F)**: 0.53 states/eV/atom
**Energy relative to the elements**: 0.154 eV/atom
**Energy above the lowest structure with this stoichiometry**: 0.331 eV/f.u.
**ρ**: 8.06 g cm⁻³
**SG**: Fm-3m
**Calculated volume**: 89 Å³/cell



[2]
# Tl2In

A crystal of Tl2In relaxed with PBEsol (SCAN, the Alexandria database).

POSCAR file:
```
Tl2In
1.0
5.426 0.000 0.000
-2.713 4.699 0.000
0.000 0.000 3.224
Tl In
2 1
direct
0.333 0.667 0.302
0.667 0.333 0.698
0.000 0.000 0.000
```

**VASP energy**: -59.32 eV/atom
**DOS(E_F)**: 0.50 states/eV/atom
**Energy relative to the elements**: 0.043 eV/atom
**ρ**: 10.58 g cm⁻³
**SG**: P-3m1
**Calculated volume**: 82 Å³/cell